Material: TbPm2MoO8
Method: DFT, PBE+U
State: optimized geometry

The calculated total energy comes out at -0.282 Ha/atom. As for the calculated volume: 370.5 Å³/cell.

The space group is Cmmm (No. 65) and the conventional cell measures 7.268, 7.366 and 6.920 Å, with angles of 90.00, 90.00 and 90.00 degrees. The asymmetric unit holds Tb at (0.000, 0.000, 0.000), Pm at (0.000, 0.500, 0.251), Mo at (0.000, 0.000, 0.500), O at (0.000, 0.178, 0.290), O at (0.197, 0.500, 0.000) and O at (0.233, 0.500, 0.500).